Entry 1:
VASP calculation (PBE) on a relaxed structure of CsLaCd2Ru.

The structure in CIF format:
```
data_CsLaCd2Ru
_chemical_formula_sum 'Cs1 La1 Cd2 Ru1'
_cell_length_a 5.6217
_cell_length_b 5.6217
_cell_length_c 5.0829
_cell_angle_alpha 90.00
_cell_angle_beta 90.00
_cell_angle_gamma 90.00
_space_group_name_H-M_alt 'P 4/m m m'
_space_group_IT_number 123
_space_group_name_Hall '-P 4 2'
loop_
_atom_site_label
_atom_site_type_symbol
_atom_site_fract_x
_atom_site_fract_y
_atom_site_fract_z
_atom_site_occupancy
Cs1 Cs 0.0000 0.0000 0.0000 1
La1 La 0.5000 0.5000 0.0000 1
Cd1 Cd 0.0000 0.5000 0.5000 1
Ru1 Ru 0.5000 0.5000 0.5000 1
```

Values from the calculation:
Uncorrected energy = -3.430 eV/atom
Energy of formation from the pure elements = -0.3 eV/f.u.



Entry 2:
VASP calculation (PBE) on a relaxed structure of Li15MgTl4.

The structure in CIF format:
```
data_Li15MgTl4
_chemical_formula_sum 'Li15 Mg1 Tl4'
_cell_length_a 4.1596
_cell_length_b 4.1596
_cell_length_c 22.2785
_cell_angle_alpha 90.00
_cell_angle_beta 90.00
_cell_angle_gamma 90.00
_space_group_name_H-M_alt 'P 4/m m m'
_space_group_IT_number 123
_space_group_name_Hall '-P 4 2'
loop_
_atom_site_label
_atom_site_type_symbol
_atom_site_fract_x
_atom_site_fract_y
_atom_site_fract_z
_atom_site_occupancy
Li1 Li 0.0000 0.0000 0.0000 1
Li2 Li 0.0000 0.0000 0.2005 1
Li3 Li 0.0000 0.0000 0.4002 1
Li4 Li 0.0000 0.5000 0.1025 1
Li5 Li 0.0000 0.5000 0.2995 1
Li6 Li 0.0000 0.5000 0.5000 1
Mg1 Mg 0.5000 0.5000 0.0000 1
Tl1 Tl 0.5000 0.5000 0.2018 1
Tl2 Tl 0.5000 0.5000 0.3986 1
```

Values from the calculation:
Uncorrected energy = -2.146 eV/atom
Energy of formation from the pure elements = -3.2 eV/f.u.



uncorrected energy of number 2 (Li15MgTl4)? -2.146 eV/atom